Material: TlAg2CCl
Method: DFT, PBE-GGA
State: relaxed

Summary:
Raw total energy ... -2.077 eV/atom
Energy relative to the elements, uncorrected ... 1.75 eV per atom
Total moment ... 0.395 μB/atom
Fermi-level density of states ... 3.9 states/eV/cell

Geometry as CIF:
```
data_TlAg2CCl
_chemical_formula_sum 'Tl1 Ag2 C1 Cl1'
_space_group_name_H-M_alt 'P 4/m m m'
_space_group_IT_number 123
_space_group_name_Hall '-P 4 2'
_cell_length_a 5.4944
_cell_length_b 5.4944
_cell_length_c 5.5205
_cell_angle_alpha 90.00
_cell_angle_beta 90.00
_cell_angle_gamma 90.00
loop_
_atom_site_label
_atom_site_type_symbol
_atom_site_fract_x
_atom_site_fract_y
_atom_site_fract_z
Tl1 Tl 0.0000 0.0000 0.0000
Ag1 Ag 0.0000 0.5000 0.0000
C1 C 0.5000 0.5000 0.5000
Cl1 Cl 0.0000 0.0000 0.5000
```



Material: CoAgC3
Method: DFT, PBE-GGA
State: relaxed

Summary:
E above lowest polymorph ... 1373 meV/atom
Raw total energy ... -3.968 eV/atom
Total moment ... 0.000 μB/atom
Fermi-level density of states ... 4.1 states/eV/cell

Geometry as CIF:
```
data_CoAgC3
_chemical_formula_sum 'Co1 Ag1 C3'
_space_group_name_H-M_alt 'P m -3 m'
_space_group_IT_number 221
_space_group_name_Hall '-P 4 2 3'
_cell_length_a 4.0439
_cell_length_b 4.0439
_cell_length_c 4.0439
_cell_angle_alpha 90.00
_cell_angle_beta 90.00
_cell_angle_gamma 90.00
loop_
_atom_site_label
_atom_site_type_symbol
_atom_site_fract_x
_atom_site_fract_y
_atom_site_fract_z
Co1 Co 0.0000 0.0000 0.0000
Ag1 Ag 0.5000 0.5000 0.5000
C1 C 0.0000 0.5000 0.5000
```